1.
The following is a GGA-PBE calculation of a relaxed Tc2HgAs crystal, from the Alexandria database.

Structure (extended XYZ):
```
4
Lattice="-1.247 -0.777 -4.239 2.032 -3.997 0.136 -2.697 -1.335 1.038" Properties=species:S:1:pos:R:3 pbc="T T T"
Tc 0.392 -2.387 -2.051
Tc 0.000 0.000 0.000
Hg -0.332 -2.666 0.587
As -1.972 -1.056 -1.600
```

Computed properties:
The formation energy from the elements comes out at 2.1 eV per formula unit. The calculation puts the volume at 16.01 Å³/atom. The space group is No. 123. Its density of states at the Fermi level is 3.63 states/eV/cell. For the total energy, the calculation gives -5.907 eV per atom. The calculation puts the total magnetization at 0.0001 μB/atom.

=====

2.
The following is a GGA-PBE calculation of a relaxed LiNiHgBi crystal, from the Alexandria database.

Structure (extended XYZ):
```
4
Lattice="-4.441 -0.534 -1.496 -2.740 -3.342 1.890 -3.595 1.205 2.805" Properties=species:S:1:pos:R:3 pbc="T T T"
Bi -5.388 -1.336 1.599
Ni -2.694 -0.668 0.800
Hg 0.000 0.000 0.000
Li -8.081 -2.003 2.399
```

Computed properties:
The formation energy from the elements comes out at -0.2 eV per formula unit. The calculation puts the volume at 18.55 Å³/atom. The space group is No. 216. Its density of states at the Fermi level is 1.80 states/eV/cell. For the total energy, the calculation gives -3.020 eV per atom. The calculation puts the total magnetization at 0.0000 μB/atom.

=====

3.
The following is a GGA-PBE calculation of a relaxed Tm5Sn2C crystal, from the Alexandria database.

Structure (extended XYZ):
```
16
Lattice="-2.582 2.290 -3.686 -5.523 -2.975 5.479 0.476 10.391 6.123" Properties=species:S:1:pos:R:3 pbc="T T T"
C -2.369 1.929 2.859
C -5.260 7.776 5.058
Sn -1.350 6.067 4.715
Sn -6.279 3.639 3.201
Sn -1.232 8.634 6.228
Sn -6.397 1.072 1.688
Tm -3.821 9.848 5.337
Tm -3.978 6.436 3.326
Tm -0.997 0.907 1.262
Tm -6.761 5.982 4.995
Tm -3.651 3.270 4.590
Tm -6.632 8.798 6.654
Tm -3.808 -0.142 2.579
Tm -3.854 3.023 1.119
Tm -0.868 3.723 2.921
Tm -3.775 6.683 6.797
```

Computed properties:
The formation energy from the elements comes out at -0.6 eV per formula unit. The calculation puts the volume at 30.24 Å³/atom. The space group is No. 63. Its density of states at the Fermi level is 15.48 states/eV/cell. For the total energy, the calculation gives -5.028 eV per atom. The calculation puts the total magnetization at 0.1081 μB/atom.

=====

4.
The following is a GGA-PBE calculation of a relaxed AcTbSc2 crystal, from the Alexandria database.

Structure (extended XYZ):
```
4
Lattice="-2.359 3.769 -3.387 -4.942 -1.083 -2.375 -4.563 2.774 1.652" Properties=species:S:1:pos:R:3 pbc="T T T"
Tb 0.000 0.000 0.000
Ac -5.932 2.730 -2.055
Sc -2.966 1.365 -1.027
Sc -8.898 4.095 -3.082
```

Computed properties:
The formation energy from the elements comes out at 0.4 eV per formula unit. The calculation puts the volume at 30.87 Å³/atom. The space group is No. 225. Its density of states at the Fermi level is 5.66 states/eV/cell. For the total energy, the calculation gives -5.248 eV per atom. The calculation puts the total magnetization at 0.0000 μB/atom.

=====

5.
The following is a GGA-PBE calculation of a relaxed ScFeCu2Tc crystal, from the Alexandria database.

Structure (extended XYZ):
```
5
Lattice="-3.449 -1.527 2.721 2.592 0.267 3.436 -1.385 4.384 0.704" Properties=species:S:1:pos:R:3 pbc="T T T"
Tc 0.000 0.000 0.000
Fe 1.296 0.133 1.718
Sc -1.121 1.562 3.430
Cu -1.725 -0.763 1.360
Cu -0.692 2.192 0.352
```

Computed properties:
The formation energy from the elements comes out at 4.2 eV per formula unit. The calculation puts the volume at 18.65 Å³/atom. The space group is No. 123. Its density of states at the Fermi level is 5.34 states/eV/cell. For the total energy, the calculation gives -5.825 eV per atom. The calculation puts the total magnetization at 0.3257 μB/atom.

=====

6.
The following is a GGA-PBE calculation of a relaxed BaTa3I crystal, from the Alexandria database.

Structure (extended XYZ):
```
5
Lattice="-3.278 3.125 -2.547 -3.829 -1.385 3.228 1.263 3.913 3.177" Properties=species:S:1:pos:R:3 pbc="T T T"
Ta -1.915 -0.692 1.614
Ta 0.631 1.957 1.588
Ta -1.639 1.563 -1.274
Ba -2.922 2.827 1.929
I 0.000 0.000 0.000
```

Computed properties:
The energy relative to the elements, uncorrected is 1.84 eV/atom. The calculation puts the volume at 28.06 Å³/atom. The space group is No. 221. Its density of states at the Fermi level is 6.97 states/eV/cell. For the total energy, the calculation gives -5.963 eV per atom. The calculation puts the total magnetization at 0.3091 μB/atom.

=====

7.
The following is a GGA-PBE calculation of a relaxed NaAcCd2F8 crystal, from the Alexandria database.

Structure (extended XYZ):
```
12
Lattice="-2.007 -2.487 -2.484 3.760 -4.122 1.038 -4.467 -2.529 6.141" Properties=species:S:1:pos:R:3 pbc="T T T"
F 1.628 -3.682 2.315
F -2.142 -4.209 -0.646
F -4.343 -5.455 2.380
F 1.799 -4.327 -0.473
F -0.573 -4.928 5.340
F -2.256 -3.574 2.103
F -0.460 -5.564 2.591
F -4.514 -4.810 5.167
Cd -2.604 -5.274 4.061
Cd -0.111 -3.863 0.634
Ac -2.234 -1.264 3.070
Na 0.000 0.000 0.000
```

Computed properties:
The energy relative to the elements, uncorrected is -2.91 eV/atom. The calculation puts the volume at 15.32 Å³/atom. The space group is No. 10. Its density of states at the Fermi level is 0.00 states/eV/cell. For the total energy, the calculation gives -4.762 eV per atom. The calculation puts the total magnetization at 0.0000 μB/atom.

=====

8.
The following is a GGA-PBE calculation of a relaxed Cr2TcMo crystal, from the Alexandria database.

Structure (extended XYZ):
```
4
Lattice="-3.694 -1.415 1.604 -0.238 -3.920 1.673 -0.445 -0.498 4.216" Properties=species:S:1:pos:R:3 pbc="T T T"
Cr -1.094 -1.458 1.873
Cr 0.000 0.000 0.000
Mo -2.188 -2.916 3.746
Tc -3.283 -4.375 5.619
```

Computed properties:
The formation energy from the elements comes out at 0.3 eV per formula unit. The calculation puts the volume at 13.75 Å³/atom. The space group is No. 216. Its density of states at the Fermi level is 3.90 states/eV/cell. For the total energy, the calculation gives -10.027 eV per atom. The calculation puts the total magnetization at 0.1155 μB/atom.

=====

9.
The following is a GGA-PBE calculation of a relaxed In2Sn2S crystal, from the Alexandria database.

Structure (extended XYZ):
```
10
Lattice="7.794 0.000 0.000 0.000 7.794 0.000 0.000 0.000 4.471" Properties=species:S:1:pos:R:3 pbc="T T T"
S 3.897 3.897 0.000
S 0.000 0.000 0.000
In 6.438 5.253 0.000
In 1.356 2.541 0.000
In 5.253 1.356 0.000
In 2.541 6.438 0.000
Sn 1.042 4.938 2.235
Sn 2.855 1.042 2.235
Sn 6.752 2.855 2.235
Sn 4.938 6.752 2.235
```

Computed properties:
The energy relative to the elements, uncorrected is 0.11 eV/atom. The calculation puts the volume at 27.16 Å³/atom. The space group is No. 127. Its density of states at the Fermi level is 7.29 states/eV/cell. For the total energy, the calculation gives -3.416 eV per atom. The calculation puts the total magnetization at 0.0000 μB/atom.

=====

10.
The following is a GGA-PBE calculation of a relaxed Se2Br crystal, from the Alexandria database.

Structure (extended XYZ):
```
3
Lattice="4.474 0.000 0.000 -2.237 3.875 0.000 0.000 0.000 4.714" Properties=species:S:1:pos:R:3 pbc="T T T"
Se 0.000 2.583 2.357
Se 2.237 1.292 2.357
Br 0.000 0.000 0.000
```

Computed properties:
The energy relative to the elements, uncorrected is 0.43 eV/atom. The calculation puts the volume at 27.25 Å³/atom. The space group is No. 191. Its density of states at the Fermi level is 3.44 states/eV/cell. For the total energy, the calculation gives -2.455 eV per atom. The calculation puts the total magnetization at 0.0015 μB/atom.

=====

- Which value of density of states at the Fermi level does entry 2 give?
  1.80 states/eV/cell